1.
Entry from the Open Quantum Materials Database: a relaxed structure of ErCuSnSe2S (PBE).

Cell: 7.0103 7.0103 10.0855 Å, 90.00 90.00 147.42°
Closest atoms and distances in Å follow each position.
Atoms (fractional coordinates):
Er1 0.0000 0.0000 0.0000  2 S 2.70, 4 Se 2.85
Er2 0.0000 0.0000 0.5000  2 S 2.70, 4 Se 2.85
Cu1 0.4724 0.5276 0.7500  2 S 2.39, 2 Se 2.46
Cu2 0.5276 0.4724 0.2500  2 S 2.39, 2 Se 2.46
Sn1 0.2531 0.7469 0.2500  2 S 3.06, 4 Se 3.08
Sn2 0.7469 0.2531 0.7500  2 S 3.06, 4 Se 3.08
Se1 0.3545 0.6455 0.5631  1 Cu 2.46
Se2 0.3545 0.6455 0.9369  1 Cu 2.46
Se3 0.6455 0.3545 0.0631  1 Cu 2.46
Se4 0.6455 0.3545 0.4369  1 Cu 2.46
S1 0.0727 0.9273 0.7500  2 Cu 2.39
S2 0.9273 0.0727 0.2500  2 Cu 2.39

Values from the calculation:
**VASP energy**: -0.179 Ha/atom



2.
Entry from the Open Quantum Materials Database: a relaxed structure of Au4IF3 (PBE).

Cell: 4.1221 4.1221 9.4188 Å, 90.00 90.00 91.21°
Closest atoms and distances in Å follow each position.
Atoms (fractional coordinates):
Au1 0.2477 0.7523 0.0000  2 F 2.13
Au2 0.2531 0.2531 0.4365  1 F 2.20
Au3 0.7469 0.7469 0.4365  1 F 2.20
Au4 0.7523 0.2477 0.0000  2 F 2.13
I1 0.0000 0.0000 0.6650  2 Au 2.60
F1 0.0000 0.0000 0.1647  2 Au 2.13
F2 0.5000 0.5000 0.2591  2 Au 2.20
F3 0.5000 0.5000 0.8379  2 Au 2.13

Values from the calculation:
**VASP energy**: -0.107 Ha/atom



3.
Entry from the Open Quantum Materials Database: a relaxed structure of TaRe (PBE).

Cell: 5.3252 5.3252 16.7386 Å, 90.00 90.00 120.00°
Closest atoms and distances in Å follow each position.
Atoms (fractional coordinates):
Ta1 0.0000 0.5000 0.0000  4 Re 2.60-2.90, 4 Ta 2.66
Ta2 0.0000 0.5000 0.5000  4 Re 2.60-2.90, 4 Ta 2.66
Ta3 0.1639 0.3277 0.2500  4 Re 2.61-2.88, 4 Ta 2.62-2.71
Ta4 0.1639 0.8361 0.2500  4 Re 2.61-2.88, 4 Ta 2.62-2.71
Ta5 0.3277 0.1639 0.7500  4 Re 2.61-2.88, 4 Ta 2.62-2.71
Ta6 0.5000 0.0000 0.0000  4 Re 2.60-2.90, 4 Ta 2.66
Ta7 0.5000 0.0000 0.5000  4 Re 2.60-2.90, 4 Ta 2.66
Ta8 0.5000 0.5000 0.0000  4 Re 2.60-2.90, 4 Ta 2.66
Ta9 0.5000 0.5000 0.5000  4 Re 2.60-2.90, 4 Ta 2.66
Ta10 0.6723 0.8361 0.2500  4 Re 2.61-2.88, 4 Ta 2.62-2.71
Ta11 0.8361 0.1639 0.7500  4 Re 2.61-2.88, 4 Ta 2.62-2.71
Ta12 0.8361 0.6723 0.7500  4 Re 2.61-2.88, 4 Ta 2.62-2.71
Re1 0.0000 0.0000 0.1036  9 Ta 2.88-3.18, 6 Re 3.10-3.16
Re2 0.0000 0.0000 0.3964  9 Ta 2.88-3.18, 6 Re 3.10-3.16
Re3 0.0000 0.0000 0.6036  9 Ta 2.88-3.18, 6 Re 3.10-3.16
Re4 0.0000 0.0000 0.8964  9 Ta 2.88-3.18, 6 Re 3.10-3.16
Re5 0.3333 0.6667 0.1250  6 Ta 2.60-2.61
Re6 0.3333 0.6667 0.3750  6 Ta 2.60-2.61
Re7 0.3333 0.6667 0.6466  9 Ta 2.90-3.18, 6 Re 3.10-3.16
Re8 0.3333 0.6667 0.8534  9 Ta 2.90-3.18, 6 Re 3.10-3.16
Re9 0.6667 0.3333 0.1466  9 Ta 2.90-3.18, 6 Re 3.10-3.16
Re10 0.6667 0.3333 0.3534  9 Ta 2.90-3.18, 6 Re 3.10-3.16
Re11 0.6667 0.3333 0.6250  6 Ta 2.60-2.61
Re12 0.6667 0.3333 0.8750  6 Ta 2.60-2.61

Values from the calculation:
**Energy of formation**: 0.405 eV/atom



4.
Entry from the Open Quantum Materials Database: a relaxed structure of BeFeAsIr (PBE).

Cell: 4.0649 4.0649 4.0649 Å, 60.00 60.00 60.00°
Closest atoms and distances in Å follow each position.
Atoms (fractional coordinates):
Be1 0.0000 0.0000 0.0000  4 Fe 2.49, 4 Ir 2.49
Fe1 0.7500 0.7500 0.7500  4 As 2.49, 4 Be 2.49
As1 0.5000 0.5000 0.5000  4 Fe 2.49, 4 Ir 2.49
Ir1 0.2500 0.2500 0.2500  4 As 2.49, 4 Be 2.49

Values from the calculation:
**Excess energy over the best structure of this formula in the dataset**: 0 meV per atom



5.
Entry from the Open Quantum Materials Database: a relaxed structure of BePtSO (PBE).

Cell: 4.3125 4.3125 6.6096 Å, 90.00 90.00 90.00°
Closest atoms and distances in Å follow each position.
Atoms (fractional coordinates):
Be1 0.2500 0.2500 0.2469  1 S 1.90, 1 Pt 2.11
Be2 0.7500 0.7500 0.7531  1 S 1.90, 1 Pt 2.11
Pt1 0.2500 0.2500 0.5668  1 Be 2.11, 4 O 2.20
Pt2 0.7500 0.7500 0.4332  1 Be 2.11, 4 O 2.20
S1 0.2500 0.2500 0.9593  1 Be 1.90
S2 0.7500 0.7500 0.0407  1 Be 1.90
O1 0.2500 0.7500 0.5000  4 Pt 2.20
O2 0.7500 0.2500 0.5000  4 Pt 2.20

Values from the calculation:
**Excess energy over the best structure of this formula in the dataset**: 1227 meV per atom



6.
Entry from the Open Quantum Materials Database: a relaxed structure of Hf3ZnTc2 (PBE).

Cell: 3.2992 3.2992 9.7877 Å, 90.00 90.00 90.00°
Closest atoms and distances in Å follow each position.
Atoms (fractional coordinates):
Hf1 0.0000 0.0000 0.0000  8 Tc 2.87, 2 Hf 3.16
Hf2 0.0000 0.0000 0.3224  4 Tc 2.77, 4 Zn 2.91
Hf3 0.0000 0.0000 0.6776  4 Tc 2.77, 4 Zn 2.91
Zn1 0.5000 0.5000 0.5000  8 Hf 2.91, 2 Tc 3.23
Tc1 0.5000 0.5000 0.1703  8 Hf 2.77-2.87
Tc2 0.5000 0.5000 0.8297  8 Hf 2.77-2.87

Values from the calculation:
**Energy of formation**: -0.447 eV/atom